# Pu2ScPaS4

A relaxed Pu2ScPaS4 crystal (PBE, Alexandria via LeMat-Bulk).

Geometry as POSCAR:
```
Pu2ScPaS4
1.0
3.8416 0.0000 0.0000
0.0000 6.8015 0.1672
0.0000 -2.3267 6.2092
Pa Sc S Pu
1 1 4 2
Cartesian
1.9208 3.4008 0.0836
0.0000 0.0000 0.0000
0.0000 -0.1181 4.7336
0.0000 4.5929 1.6428
1.9208 1.0660 1.5050
1.9208 3.4088 4.8715
1.9208 -1.1634 3.1046
0.0000 2.2374 3.1882
```

Output
**M_tot**: 0.054 μB per atom
**DFT total energy**: -9.368 eV/atom
**Crystal system**: monoclinic
**Energy relative to the elements, uncorrected**: -1743 meV per atom